VASP calculation (PBE-GGA) on crystalline LiTb3Dy2S6 at its relaxed geometry.

Values from the calculation:
The value obtained for the uncorrected formation energy is -1967 meV/atom. The spin magnetization is 0.0 μB per formula unit. The energy is -6.115 eV per atom. The symmetry is C2/m.

Cell: 6.7458 6.7458 6.7624 Å, 99.60 99.60 120.14°
Positions (direct):
Li1 0.0000 0.0000 0.0000
Tb1 0.1657 0.8343 0.5000
Tb2 0.5000 0.5000 0.5000
Tb3 0.8343 0.1657 0.5000
Dy1 0.3343 0.6657 0.0000
Dy2 0.6657 0.3343 0.0000
S1 0.0811 0.4074 0.2443
S2 0.2439 0.2439 0.7589
S3 0.4074 0.0811 0.2443
S4 0.5926 0.9189 0.7557
S5 0.7561 0.7561 0.2411
S6 0.9189 0.5926 0.7557

VASP calculation (PBE-GGA) on crystalline LiTb2DyS4 at its relaxed geometry.

Values from the calculation:
The value obtained for the uncorrected formation energy is -1942 meV/atom. The spin magnetization is 0.0 μB per formula unit. The energy is -5.977 eV per atom. The symmetry is P2/m.

Cell: 6.7385 3.8914 6.7405 Å, 90.00 109.41 90.00°
Positions (direct):
Li1 0.0000 0.0000 0.0000
Tb1 0.0000 0.5000 0.5000
Tb2 0.5000 0.0000 0.5000
Dy1 0.5000 0.5000 0.0000
S1 0.2447 0.5000 0.2434
S2 0.2465 0.0000 0.7561
S3 0.7535 0.0000 0.2439
S4 0.7553 0.5000 0.7566

VASP calculation (PBE-GGA) on crystalline Li3Tb2DyS6 at its relaxed geometry.

Values from the calculation:
The value obtained for the uncorrected formation energy is -1846 meV/atom. The spin magnetization is 0.0 μB per formula unit. The energy is -5.544 eV per atom. The symmetry is C2/m.

Cell: 6.8013 6.8013 6.5798 Å, 99.92 99.92 120.00°
Positions (direct):
Li1 0.0000 0.0000 0.0000
Li2 0.3335 0.6665 0.0000
Li3 0.6665 0.3335 0.0000
Tb1 0.1667 0.8333 0.5000
Tb2 0.8333 0.1667 0.5000
Dy1 0.5000 0.5000 0.5000
S1 0.0841 0.4163 0.2489
S2 0.2515 0.2515 0.7509
S3 0.4163 0.0841 0.2489
S4 0.5837 0.9159 0.7511
S5 0.7485 0.7485 0.2491
S6 0.9159 0.5837 0.7511

What is the spin magnetization in the third record?
0.0 μB per formula unit

spin magnetization of number 3 (Li3Tb2DyS6)?
0.0 μB per formula unit

Which of these has the highest energy?
Li3Tb2DyS6